Record 1
# In12Pb6Au | the Alexandria database | PBE-GGA | relaxed
# DFT total energy: -3.0285 eV per atom
# formation energy: 44.6 meV per atom
# ρ: 8.5 g/cm³
# density of states at the Fermi level: 8.53 states/eV/f.u.
data_In12Pb6Au
_cell_length_a 8.442
_cell_length_b 8.442
_cell_length_c 8.442
_cell_angle_alpha 102.41
_cell_angle_beta 102.41
_cell_angle_gamma 102.41
_symmetry_space_group_name_H-M 'P 1'
_symmetry_Int_Tables_number 1
_symmetry_space_group_name_Hall 'P 1'
loop_
_atom_site_label
_atom_site_type_symbol
_atom_site_fract_x
_atom_site_fract_y
_atom_site_fract_z
_atom_site_occupancy
In1 In 0.068 0.794 0.255 1
In2 In 0.190 0.615 0.537 1
In3 In 0.206 0.745 0.932 1
In4 In 0.255 0.068 0.794 1
In5 In 0.385 0.463 0.810 1
In6 In 0.463 0.810 0.385 1
In7 In 0.537 0.190 0.615 1
In8 In 0.615 0.537 0.190 1
In9 In 0.745 0.932 0.206 1
In10 In 0.794 0.255 0.068 1
In11 In 0.810 0.385 0.463 1
In12 In 0.932 0.206 0.745 1
Pb1 Pb 0.127 0.204 0.426 1
Pb2 Pb 0.204 0.426 0.127 1
Pb3 Pb 0.426 0.127 0.204 1
Pb4 Pb 0.574 0.873 0.796 1
Pb5 Pb 0.796 0.574 0.873 1
Pb6 Pb 0.873 0.796 0.574 1
Au1 Au 0.000 0.000 0.000 1

=====

Record 2
# SiNi5B2Pt2 | the Alexandria database | PBE-GGA | relaxed
# DFT total energy: -6.2726 eV per atom
# ΔE_f (raw): -0.296 eV per atom
# ρ: 11.4 g/cm³
# density of states at the Fermi level: 4.33 states/eV/f.u.
data_SiNi5B2Pt2
_cell_length_a 8.152
_cell_length_b 8.152
_cell_length_c 3.222
_cell_angle_alpha 90.00
_cell_angle_beta 90.00
_cell_angle_gamma 90.00
_symmetry_space_group_name_H-M 'P 1'
_symmetry_Int_Tables_number 1
_symmetry_space_group_name_Hall 'P 1'
loop_
_atom_site_label
_atom_site_type_symbol
_atom_site_fract_x
_atom_site_fract_y
_atom_site_fract_z
_atom_site_occupancy
Si1 Si 0.000 0.000 0.000 1
Si2 Si 0.500 0.500 0.000 1
Ni1 Ni 0.000 0.500 0.500 1
Ni2 Ni 0.065 0.209 0.500 1
Ni3 Ni 0.209 0.935 0.500 1
Ni4 Ni 0.291 0.435 0.500 1
Ni5 Ni 0.435 0.709 0.500 1
Ni6 Ni 0.500 0.000 0.500 1
Ni7 Ni 0.565 0.291 0.500 1
Ni8 Ni 0.709 0.565 0.500 1
Ni9 Ni 0.791 0.065 0.500 1
Ni10 Ni 0.935 0.791 0.500 1
B1 B 0.124 0.376 0.000 1
B2 B 0.376 0.876 0.000 1
B3 B 0.624 0.124 0.000 1
B4 B 0.876 0.624 0.000 1
Pt1 Pt 0.178 0.678 0.000 1
Pt2 Pt 0.322 0.178 0.000 1
Pt3 Pt 0.678 0.822 0.000 1
Pt4 Pt 0.822 0.322 0.000 1